A relaxed BaCa2BeCd crystal, computed with PBE-GGA.

Cell lengths 6.7517, 6.7517, 6.0829 Å; angles 90.00, 90.00, 90.00 degrees
Fractional positions:
1 Ba 0.0000 0.0000 0.0000
2 Ca 0.0000 0.5000 0.0000
3 Ca 0.5000 0.0000 0.0000
4 Be 0.5000 0.5000 0.5000
5 Cd 0.0000 0.0000 0.5000

## Properties
**E_form**: 675 kJ/mol of formula units
**Symmetry**: No. 123

---

A relaxed BaCaBe2Cl8 crystal, computed with PBE-GGA.

Cell lengths 9.6336, 9.6336, 9.6336 Å; angles 37.32, 37.32, 37.32 degrees
Fractional positions:
1 Ba 0.0000 0.0000 0.0000
2 Ca 0.5000 0.5000 0.5000
3 Be 0.2527 0.2527 0.2527
4 Be 0.7473 0.7473 0.7473
5 Cl 0.0731 0.4469 0.7918
6 Cl 0.2082 0.9269 0.5531
7 Cl 0.3276 0.3276 0.3276
8 Cl 0.4469 0.7918 0.0731
9 Cl 0.5531 0.2082 0.9269
10 Cl 0.6724 0.6724 0.6724
11 Cl 0.7918 0.0731 0.4469
12 Cl 0.9269 0.5531 0.2082

## Properties
**Formation energy from raw total energies**: -1.926 eV per atom
**Symmetry**: No. 148

---

A relaxed BaCa2BeCr crystal, computed with PBE-GGA.

Cell lengths 5.7257, 5.7257, 6.0242 Å; angles 90.00, 90.00, 90.00 degrees
Fractional positions:
1 Ba 0.0000 0.0000 0.0000
2 Ca 0.0000 0.5000 0.5000
3 Ca 0.5000 0.0000 0.5000
4 Be 0.5000 0.5000 0.0000
5 Cr 0.0000 0.0000 0.5000

## Properties
**E_form**: 487 kJ/mol of formula units
**Symmetry**: No. 123

---

A relaxed BaCaBe2F8 crystal, computed with PBE-GGA.

Cell lengths 4.9859, 4.9859, 8.2164 Å; angles 92.20, 92.20, 65.91 degrees
Fractional positions:
1 Ba 0.0000 0.0000 0.0000
2 Ca 0.0000 0.0000 0.5000
3 Be 0.3772 0.3772 0.7332
4 Be 0.6228 0.6228 0.2668
5 F 0.2434 0.7217 0.7205
6 F 0.2580 0.2580 0.5843
7 F 0.2783 0.7566 0.2795
8 F 0.3067 0.3067 0.9063
9 F 0.6933 0.6933 0.0937
10 F 0.7217 0.2434 0.7205
11 F 0.7420 0.7420 0.4157
12 F 0.7566 0.2783 0.2795

## Properties
**Formation energy from raw total energies**: -3.612 eV per atom
**Symmetry**: No. 12

---

A relaxed Ba2CaBeGa crystal, computed with PBE-GGA.

Cell lengths 6.0377, 6.0377, 5.6140 Å; angles 90.00, 90.00, 90.00 degrees
Fractional positions:
1 Ba 0.0000 0.5000 0.0000
2 Ba 0.5000 0.0000 0.0000
3 Ca 0.0000 0.0000 0.5000
4 Be 0.0000 0.0000 0.0000
5 Ga 0.5000 0.5000 0.5000

## Properties
**E_form**: 176 kJ/mol of formula units
**Symmetry**: No. 123

---

A relaxed Ba2LiCaBe crystal, computed with PBE-GGA.

Cell lengths 6.4832, 6.4832, 4.6747 Å; angles 90.00, 90.00, 90.00 degrees
Fractional positions:
1 Ba 0.0000 0.5000 0.0000
2 Ba 0.5000 0.0000 0.0000
3 Li 0.0000 0.0000 0.0000
4 Ca 0.5000 0.5000 0.5000
5 Be 0.0000 0.0000 0.5000

## Properties
**E_form**: 226 kJ/mol of formula units
**Symmetry**: No. 123

---

A relaxed BaCaBeN2 crystal, computed with PBE-GGA.

Cell lengths 6.0167, 4.6699, 6.9051 Å; angles 90.00, 100.54, 90.00 degrees
Fractional positions:
1 Ba 0.0000 0.1360 0.2500
2 Ba 0.0000 0.8640 0.7500
3 Ca 0.5000 0.4757 0.7500
4 Ca 0.5000 0.5243 0.2500
5 Be 0.5000 0.0000 0.0000
6 Be 0.5000 0.0000 0.5000
7 N 0.3059 0.2195 0.9801
8 N 0.3059 0.7805 0.4801
9 N 0.6941 0.2195 0.5199
10 N 0.6941 0.7805 0.0199

## Properties
**Formation energy from raw total energies**: -0.729 eV per atom
**Symmetry**: No. 13

---

A relaxed Ba3CaBe2O6 crystal, computed with PBE-GGA.

Cell lengths 5.8548, 5.8548, 6.9062 Å; angles 90.00, 90.00, 120.00 degrees
Fractional positions:
1 Ba 0.0000 0.0000 0.0000
2 Ba 0.3333 0.6667 0.6761
3 Ba 0.6667 0.3333 0.3239
4 Ca 0.0000 0.0000 0.5000
5 Be 0.3333 0.6667 0.2640
6 Be 0.6667 0.3333 0.7360
7 O 0.1814 0.3627 0.2866
8 O 0.1814 0.8186 0.2866
9 O 0.3627 0.1814 0.7134
10 O 0.6373 0.8186 0.2866
11 O 0.8186 0.1814 0.7134
12 O 0.8186 0.6373 0.7134

## Properties
**Formation energy from raw total energies**: -2.627 eV per atom
**Symmetry**: No. 164

---

A relaxed BaCaBeP2 crystal, computed with PBE-GGA.

Cell lengths 7.3431, 4.8553, 8.0776 Å; angles 90.00, 105.27, 90.00 degrees
Fractional positions:
1 Ba 0.0000 0.2365 0.2500
2 Ba 0.0000 0.7635 0.7500
3 Ca 0.5000 0.4426 0.7500
4 Ca 0.5000 0.5574 0.2500
5 Be 0.5000 0.0000 0.0000
6 Be 0.5000 0.0000 0.5000
7 P 0.2706 0.2310 0.9758
8 P 0.2706 0.7690 0.4758
9 P 0.7294 0.2310 0.5242
10 P 0.7294 0.7690 0.0242

## Properties
**E_form**: -392 kJ/mol of formula units
**Symmetry**: No. 13

---

A relaxed Ba2CaBePt crystal, computed with PBE-GGA.

Cell lengths 6.4200, 6.4200, 4.6654 Å; angles 90.00, 90.00, 90.00 degrees
Fractional positions:
1 Ba 0.0000 0.5000 0.0000
2 Ba 0.5000 0.0000 0.0000
3 Ca 0.0000 0.0000 0.0000
4 Be 0.0000 0.0000 0.5000
5 Pt 0.5000 0.5000 0.5000

## Properties
**E_form**: 491 kJ/mol of formula units
**Symmetry**: No. 123

---

A relaxed BaCa2BeRh crystal, computed with PBE-GGA.

Cell lengths 6.1735, 6.1735, 4.9661 Å; angles 90.00, 90.00, 90.00 degrees
Fractional positions:
1 Ba 0.0000 0.0000 0.0000
2 Ca 0.0000 0.5000 0.0000
3 Ca 0.5000 0.0000 0.0000
4 Be 0.5000 0.5000 0.5000
5 Rh 0.0000 0.0000 0.5000

## Properties
**E_form**: 691 kJ/mol of formula units
**Symmetry**: No. 123

---

A relaxed BaCaBe2Ru crystal, computed with PBE-GGA.

Cell lengths 4.9914, 4.9914, 6.0379 Å; angles 90.00, 90.00, 90.00 degrees
Fractional positions:
1 Ba 0.0000 0.0000 0.0000
2 Ca 0.0000 0.0000 0.5000
3 Be 0.0000 0.5000 0.5000
4 Be 0.5000 0.0000 0.5000
5 Ru 0.5000 0.5000 0.0000

## Properties
**E_form**: 992 kJ/mol of formula units
**Symmetry**: No. 123

---

A relaxed BaCa2BeS crystal, computed with PBE-GGA.

Cell lengths 5.3085, 5.3085, 6.6381 Å; angles 90.00, 90.00, 90.00 degrees
Fractional positions:
1 Ba 0.0000 0.0000 0.0000
2 Ca 0.0000 0.5000 0.5000
3 Ca 0.5000 0.0000 0.5000
4 Be 0.5000 0.5000 0.0000
5 S 0.5000 0.5000 0.5000

## Properties
**Formation energy from raw total energies**: -0.112 eV per atom
**Symmetry**: No. 123

---

A relaxed BaCa2BeTe crystal, computed with PBE-GGA.

Cell lengths 5.8236, 5.8236, 6.6425 Å; angles 90.00, 90.00, 90.00 degrees
Fractional positions:
1 Ba 0.0000 0.0000 0.0000
2 Ca 0.0000 0.5000 0.5000
3 Ca 0.5000 0.0000 0.5000
4 Be 0.5000 0.5000 0.0000
5 Te 0.0000 0.0000 0.5000

## Properties
**Relative energy among the computed polymorphs**: 0.0 meV/atom
**Formation energy from raw total energies**: 0.100 eV per atom
**Symmetry**: No. 123

---

A relaxed BaCa2BeTe crystal, computed with PBE-GGA.

Cell lengths 6.0417, 6.0417, 5.1243 Å; angles 90.00, 90.00, 90.00 degrees
Fractional positions:
1 Ba 0.0000 0.0000 0.0000
2 Ca 0.0000 0.5000 0.5000
3 Ca 0.5000 0.0000 0.5000
4 Be 0.5000 0.5000 0.0000
5 Te 0.5000 0.5000 0.5000

## Properties
**Relative energy among the computed polymorphs**: 22.6 meV/atom
**Formation energy from raw total energies**: 0.123 eV per atom
**Symmetry**: No. 123

---

A relaxed BaCaY2Be crystal, computed with PBE-GGA.

Cell lengths 5.7059, 5.7059, 5.7229 Å; angles 90.00, 90.00, 90.00 degrees
Fractional positions:
1 Ba 0.0000 0.0000 0.0000
2 Ca 0.0000 0.0000 0.5000
3 Y 0.0000 0.5000 0.0000
4 Y 0.5000 0.0000 0.0000
5 Be 0.5000 0.5000 0.5000

## Properties
**E_form**: 740 kJ/mol of formula units
**Symmetry**: No. 123

---

A relaxed BaBe4Cd crystal, computed with PBE-GGA.

Cell lengths 5.2597, 5.2597, 5.2597 Å; angles 60.00, 60.00, 60.00 degrees
Fractional positions:
1 Ba 0.0000 0.0000 0.0000
2 Be 0.1706 0.6098 0.6098
3 Be 0.6098 0.1706 0.6098
4 Be 0.6098 0.6098 0.1706
5 Be 0.6098 0.6098 0.6098
6 Cd 0.2500 0.2500 0.2500

## Properties
**E_form**: 372 kJ/mol of formula units
**Symmetry**: No. 216

---

A relaxed BaBeCd2 crystal, computed with PBE-GGA.

Cell lengths 4.6431, 4.6431, 5.2908 Å; angles 90.00, 90.00, 90.00 degrees
Fractional positions:
1 Ba 0.0000 0.0000 0.0000
2 Be 0.5000 0.5000 0.0000
3 Cd 0.0000 0.5000 0.5000
4 Cd 0.5000 0.0000 0.5000

## Properties
**E_form**: 141 kJ/mol of formula units
**Symmetry**: No. 123

---

A relaxed BaBeCd2 crystal, computed with PBE-GGA.

Cell lengths 4.3120, 6.0074, 8.5406 Å; angles 90.00, 90.00, 90.00 degrees
Fractional positions:
1 Ba 0.0000 0.0000 0.0000
2 Ba 0.5000 0.5000 0.5000
3 Be 0.0000 0.0000 0.5000
4 Be 0.5000 0.5000 0.0000
5 Cd 0.0000 0.5000 0.1836
6 Cd 0.0000 0.5000 0.8164
7 Cd 0.5000 0.0000 0.3164
8 Cd 0.5000 0.0000 0.6836

## Properties
**E_form**: 78 kJ/mol of formula units
**Symmetry**: No. 71

---

A relaxed Ba4BeCd crystal, computed with PBE-GGA.

Cell lengths 7.2907, 7.2907, 7.2907 Å; angles 60.00, 60.00, 60.00 degrees
Fractional positions:
1 Ba 0.1248 0.1248 0.1248
2 Ba 0.1248 0.1248 0.6257
3 Ba 0.1248 0.6257 0.1248
4 Ba 0.6257 0.1248 0.1248
5 Be 0.7500 0.7500 0.7500
6 Cd 0.5000 0.5000 0.5000

## Properties
**E_form**: 441 kJ/mol of formula units
**Symmetry**: No. 216